Cr4BiIr2: optimized geometry, PBE-GGA.

Calculated values
Its total energy is -50.5 eV for the cell shown. As for the space group: No. 139. The formation energy comes out at 133 kJ/mol of atoms.

Cell: 5.025 5.025 7.277 Å, 69.80 69.80 90.00°
Site moments in Bohr magnetons follow the coordinates.
Sites, in units of the cell vectors:
Ir (0.598, 0.598, 0.805)  -0.49
Bi (0.000, 0.000, 0.000)  -0.17
Ir (0.402, 0.402, 0.195)  -0.49
Cr (0.219, 0.219, 0.562)  3.46
Cr (0.500, 0.000, 0.000)  3.21
Cr (0.781, 0.781, 0.438)  3.46
Cr (0.000, 0.500, 0.000)  3.21

---

CrBiIr3: optimized geometry, PBE-GGA.

Calculated values
Its total energy is -34.9 eV for the cell shown. As for the excess energy over the best structure of this formula in the dataset: 0 meV/atom. As for the space group: No. 221. The formation energy comes out at 100 kJ/mol of atoms.

Cell: 4.583 4.583 4.583 Å, 90.00 90.00 90.00°
Sites, in units of the cell vectors:
Ir (0.000, 0.000, 0.500)
Cr (0.000, 0.000, 0.000)
Ir (0.500, 0.000, 0.000)
Ir (0.000, 0.500, 0.000)
Bi (0.500, 0.500, 0.500)

---

CrBiIr3: optimized geometry, PBE-GGA.

Calculated values
Its total energy is -29.3 eV for the cell shown. As for the excess energy over the best structure of this formula in the dataset: 1130 meV/atom. As for the space group: No. 221. The formation energy comes out at 209 kJ/mol of atoms.

Cell: 4.960 4.960 4.960 Å, 90.00 90.00 90.00°
Site moments in Bohr magnetons follow the coordinates.
Sites, in units of the cell vectors:
Ir (0.000, 0.500, 0.000)  0.09
Ir (0.000, 0.000, 0.500)  0.14
Cr (0.500, 0.500, 0.500)  -3.93
Bi (0.000, 0.000, 0.000)  -0.01
Ir (0.500, 0.000, 0.000)  0.19

---

Sequential total magnetic moment output: 13.71 0.00 4.03 μB/cell